Computed, not measured: LiLaEu after structural relaxation at the PBE-GGA level of DFT.

Output
formation energy from the elements	0.116	eV per atom
excess energy over the best structure of this formula in the dataset	17	meV/atom
magnetic moment	2.56	μB per atom
space-group type	P3m1
calculated volume	103.21	Å³/cell

a b c (Å): 3.684 3.684 8.783
angles (deg): 90.00 90.00 120.00
Fractional coordinates of all 3 atoms:
Eu 0.667 0.333 0.344
Li 0.333 0.667 0.669
La 0.000 0.000 0.987